{"formula": "LiDyCd14", "functional": "PBE", "state": "relaxed", "e_form_ev_per_atom": -0.098, "dft_energy_ev_per_atom": -1.306, "volume_a3_per_cell": 362.2, "lattice_angstrom": [[6.5060, -0.0139, 0.0000], [0.0138, 6.5060, 0.0000], [0.0000, 0.0000, 8.5560]], "species": ["Dy", "Cd", "Cd", "Cd", "Cd", "Cd", "Cd", "Cd", "Cd", "Cd", "Cd", "Cd", "Cd", "Cd", "Cd", "Li"], "fractional_positions": [[0.8750, 0.8750, 0.5000], [0.1310, 0.1310, 0.7512], [0.3750, 0.3750, 0.0000], [0.6190, 0.6190, 0.2488], [0.3750, 0.8750, 0.0000], [0.1310, 0.1310, 0.2488], [0.8750, 0.8750, 0.0000], [0.6190, 0.1310, 0.7512], [0.1310, 0.6190, 0.2488], [0.6190, 0.6190, 0.7512], [0.3750, 0.8750, 0.5000], [0.1310, 0.6190, 0.7512], [0.8750, 0.3750, 0.0000], [0.6190, 0.1310, 0.2488], [0.8750, 0.3750, 0.5000], [0.3750, 0.3750, 0.5000]]}